Record 1
First-principles (PBE) data for a geometry-optimized La7Ho12Mg structure, as listed in the Alexandria database.

Calculated values
**Space group**: No. 148
**Magnetization**: 0.0 μB per formula unit
**Formation energy from the elements**: 3.999 eV per formula unit

```
La7Ho12Mg
1.0
6.088 3.515 5.224
-6.088 3.515 5.224
0.000 -7.030 5.224
La Ho Mg
7 12 1
Direct
0.000 0.000 0.000 La
0.148 0.733 0.282 La
0.267 0.718 0.852 La
0.282 0.148 0.733 La
0.718 0.852 0.267 La
0.733 0.282 0.148 La
0.852 0.267 0.718 La
0.062 0.152 0.387 Ho
0.152 0.387 0.062 Ho
0.153 0.487 0.606 Ho
0.387 0.062 0.152 Ho
0.394 0.847 0.513 Ho
0.487 0.606 0.153 Ho
0.513 0.394 0.847 Ho
0.606 0.153 0.487 Ho
0.613 0.938 0.848 Ho
0.847 0.513 0.394 Ho
0.848 0.613 0.938 Ho
0.938 0.848 0.613 Ho
0.500 0.500 0.500 Mg
```

---

Record 2
First-principles (PBE) data for a geometry-optimized La8Ho3Mg structure, as listed in the Alexandria database.

Calculated values
**Space group**: No. 121
**Magnetization**: 0.0 μB per formula unit
**Formation energy from the elements**: 5.613 eV per formula unit

```
La8Ho3Mg
1.0
-4.356 4.356 5.929
4.356 -4.356 5.929
4.356 4.356 -5.929
La Ho Mg
8 3 1
Direct
0.120 0.120 0.730 La
0.227 0.716 0.000 La
0.284 0.284 0.511 La
0.390 0.390 0.270 La
0.610 0.880 0.000 La
0.716 0.227 0.000 La
0.773 0.773 0.489 La
0.880 0.610 0.000 La
0.000 0.000 0.000 Ho
0.250 0.750 0.500 Ho
0.750 0.250 0.500 Ho
0.500 0.500 0.000 Mg
```

---

Record 3
First-principles (PBE) data for a geometry-optimized LaHo5Mg6 structure, as listed in the Alexandria database.

Calculated values
**Space group**: No. 65
**Magnetization**: 0.0 μB per formula unit
**Formation energy from the elements**: -0.932 eV per formula unit

```
LaHo5Mg6
1.0
2.690 -8.077 0.000
2.690 8.077 0.000
0.000 0.000 7.606
La Ho Mg
1 5 6
Direct
0.000 0.000 0.000 La
0.000 0.000 0.500 Ho
0.331 0.669 0.000 Ho
0.336 0.664 0.500 Ho
0.664 0.336 0.500 Ho
0.669 0.331 0.000 Ho
0.169 0.831 0.256 Mg
0.169 0.831 0.744 Mg
0.500 0.500 0.255 Mg
0.500 0.500 0.745 Mg
0.831 0.169 0.256 Mg
0.831 0.169 0.744 Mg
```

---

Record 4
First-principles (PBE) data for a geometry-optimized LaHo6Mg structure, as listed in the Alexandria database.

Calculated values
**Relative energy among the computed polymorphs**: 0.000 eV per atom
**Space group**: No. 12
**Magnetization**: 0.0 μB per formula unit
**Formation energy from the elements**: 0.312 eV per formula unit

```
LaHo6Mg
1.0
11.131 0.000 0.000
0.000 5.023 0.000
-4.325 0.000 8.822
La Ho Mg
2 12 2
Direct
0.000 0.000 0.000 La
0.500 0.500 0.000 La
0.003 0.500 0.747 Ho
0.245 0.000 0.378 Ho
0.249 0.000 0.869 Ho
0.251 0.500 0.131 Ho
0.255 0.500 0.622 Ho
0.497 0.000 0.253 Ho
0.503 0.000 0.747 Ho
0.745 0.500 0.378 Ho
0.749 0.500 0.869 Ho
0.751 0.000 0.131 Ho
0.755 0.000 0.622 Ho
0.997 0.500 0.253 Ho
0.000 0.000 0.500 Mg
0.500 0.500 0.500 Mg
```

---

Record 5
First-principles (PBE) data for a geometry-optimized La5HoMg6 structure, as listed in the Alexandria database.

Calculated values
**Space group**: No. 65
**Magnetization**: 0.0 μB per formula unit
**Formation energy from the elements**: -1.278 eV per formula unit

```
La5HoMg6
1.0
2.776 -8.338 0.000
2.776 8.338 0.000
0.000 0.000 7.884
La Ho Mg
5 1 6
Direct
0.000 0.000 0.000 La
0.330 0.670 0.000 La
0.335 0.665 0.500 La
0.665 0.335 0.500 La
0.670 0.330 0.000 La
0.000 0.000 0.500 Ho
0.163 0.837 0.256 Mg
0.163 0.837 0.744 Mg
0.500 0.500 0.255 Mg
0.500 0.500 0.745 Mg
0.837 0.163 0.256 Mg
0.837 0.163 0.744 Mg
```

---

Record 6
First-principles (PBE) data for a geometry-optimized La8Ho4Mg structure, as listed in the Alexandria database.

Calculated values
**Space group**: No. 166
**Magnetization**: 0.0 μB per formula unit
**Formation energy from the elements**: 1.888 eV per formula unit

```
La8Ho4Mg
1.0
3.608 2.083 10.195
-3.608 2.083 10.195
0.000 -4.167 10.195
La Ho Mg
8 4 1
Direct
0.216 0.216 0.216 La
0.225 0.749 0.749 La
0.251 0.251 0.775 La
0.251 0.775 0.251 La
0.749 0.225 0.749 La
0.749 0.749 0.225 La
0.775 0.251 0.251 La
0.784 0.784 0.784 La
0.000 0.000 0.000 Ho
0.000 0.500 0.500 Ho
0.500 0.000 0.500 Ho
0.500 0.500 0.000 Ho
0.500 0.500 0.500 Mg
```